No. 1
Entry from Alexandria: crystalline LiZr2ZnO at its relaxed geometry (PBE).

The space group is P4/mmm (No. 123) and the conventional cell measures 4.454, 4.454 and 3.899 Å, with angles of 90.00, 90.00 and 90.00 degrees. The inequivalent atoms are Li at (0.000, 0.000, 0.000), Zr at (0.000, 0.500, 0.500), Zn at (0.500, 0.500, 0.000) and O at (0.000, 0.000, 0.500).

As for the crystal system: tetragonal. The value obtained for the uncorrected energy is -31.0 eV/cell. As for the energy relative to the elements, uncorrected: -5.74 eV/f.u. For the magnetic moment, the calculation gives 0.000 μB/atom.

=====

No. 2
Entry from Alexandria: crystalline Sm4PdRu at its relaxed geometry (PBE).

The space group is C2/c (No. 15) and the conventional cell measures 9.247, 14.080 and 7.003 Å, with angles of 90.00, 131.25 and 90.00 degrees. The inequivalent atoms are Sm at (0.202, 0.250, 0.210), Sm at (0.242, 0.003, 0.787), Pd at (0.000, 0.375, 0.750) and Ru at (0.000, 0.124, 0.250).

As for the crystal system: monoclinic. The value obtained for the uncorrected energy is -141.3 eV/cell. For the magnetic moment, the calculation gives 0.000 μB/atom. As for the formation energy: -0.33 eV per atom.

=====

No. 3
Entry from Alexandria: crystalline Sm3Er3Sc at its relaxed geometry (PBE).

The space group is R-3 (No. 148, hexagonal axes) and the conventional cell measures 6.1566, 6.1566 and 41.4421 Å, with angles of 90.00, 90.00 and 120.00 degrees. The inequivalent atoms are Sm at (0.9998, 0.3331, 0.1031), Er at (0.0000, 0.3324, 0.6327) and Sc at (0.0000, 0.0000, 0.1667).

As for the crystal system: trigonal. The value obtained for the uncorrected energy is -198.9 eV/cell. For the magnetic moment, the calculation gives 0.000 μB/atom. As for the formation energy: 0.15 eV per atom.

=====

No. 4
Entry from Alexandria: crystalline AcPm6Co3 at its relaxed geometry (PBE).

The space group is Cmc2_1 (No. 36) and the conventional cell measures 11.914, 12.489 and 7.517 Å, with angles of 90.00, 90.00 and 90.00 degrees. The inequivalent atoms are Ac at (0.000, 0.194, 0.000), Pm at (0.000, 0.164, 0.500), Pm at (0.000, 0.500, 0.251), Pm at (0.219, 0.000, 0.001), Pm at (0.250, 0.250, 0.251), Co at (0.000, 0.000, 0.250) and Co at (0.107, 0.360, 0.502).

As for the crystal system: orthorhombic. The value obtained for the uncorrected energy is -213.8 eV/cell. For the magnetic moment, the calculation gives 0.000 μB/atom. As for the formation energy: 0.05 eV per atom.

=====

No. 5
Entry from Alexandria: crystalline AlPC at its relaxed geometry (PBE).

The space group is P1 (No. 1) and the conventional cell measures 3.269, 5.229 and 5.430 Å, with angles of 66.29, 88.99 and 89.31 degrees. The inequivalent atoms are Al at (0.000, 0.000, 0.000), Al at (0.474, 0.520, 0.766), P at (0.509, 0.020, 0.514), P at (0.954, 0.510, 0.086), C at (0.006, 0.131, 0.307) and C at (0.502, 0.140, 0.774).

As for the crystal system: triclinic. The value obtained for the uncorrected energy is -36.0 eV/cell. For the magnetic moment, the calculation gives 0.000 μB/atom. As for the formation energy: 0.12 eV per atom.

=====

No. 6
Entry from Alexandria: crystalline Er5ZrN6 at its relaxed geometry (PBE).

The space group is C2/m (No. 12) and the conventional cell measures 5.874, 10.169 and 5.875 Å, with angles of 90.00, 109.48 and 90.00 degrees. The inequivalent atoms are Er at (0.000, 0.000, 0.000), Er at (0.000, 0.167, 0.500), Er at (0.000, 0.334, 0.000), Zr at (0.000, 0.500, 0.500), N at (0.242, 0.500, 0.256) and N at (0.243, 0.338, 0.744).

As for the crystal system: monoclinic. The value obtained for the uncorrected energy is -205.7 eV/cell. As for the energy relative to the elements, uncorrected: -21.56 eV/f.u. For the magnetic moment, the calculation gives 0.000 μB/atom.

=====

No. 7
Entry from Alexandria: crystalline Si3WN at its relaxed geometry (PBE).

The space group is Pm-3m (No. 221) and the conventional cell measures 4.761, 4.761 and 4.761 Å, with angles of 90.00, 90.00 and 90.00 degrees. The inequivalent atoms are Si at (0.000, 0.000, 0.500), W at (0.000, 0.000, 0.000) and N at (0.500, 0.500, 0.500).

As for the crystal system: cubic. The value obtained for the uncorrected energy is -30.4 eV/cell. As for the energy relative to the elements, uncorrected: 7.18 eV/f.u. For the magnetic moment, the calculation gives 0.599 μB/atom.

=====

No. 8
Entry from Alexandria: crystalline Hf2Ti4Ge3 at its relaxed geometry (PBE).

The space group is Cmce (No. 64) and the conventional cell measures 5.458, 14.400 and 8.250 Å, with angles of 90.00, 90.00 and 90.00 degrees. The inequivalent atoms are Hf at (0.000, 0.081, 0.119), Ti at (0.000, 0.200, 0.505), Ti at (0.250, 0.089, 0.750), Ge at (0.000, 0.000, 0.500) and Ge at (0.250, 0.230, 0.250).

As for the crystal system: orthorhombic. The value obtained for the uncorrected energy is -274.7 eV/cell. For the magnetic moment, the calculation gives 0.000 μB/atom. As for the formation energy: -0.37 eV per atom.

=====

No. 9
Entry from Alexandria: crystalline ZrAgTe2 at its relaxed geometry (PBE).

The space group is P4/mmm (No. 123) and the conventional cell measures 5.008, 5.008 and 3.721 Å, with angles of 90.00, 90.00 and 90.00 degrees. The inequivalent atoms are Zr at (0.000, 0.000, 0.000), Ag at (0.500, 0.500, 0.000) and Te at (0.000, 0.500, 0.500).

As for the crystal system: tetragonal. The value obtained for the uncorrected energy is -18.6 eV/cell. As for the energy relative to the elements, uncorrected: -0.96 eV/f.u. For the magnetic moment, the calculation gives 0.000 μB/atom.

=====

No. 10
Entry from Alexandria: crystalline Fe3Ir2 at its relaxed geometry (PBE).

The space group is Fdd2 (No. 43) and the conventional cell measures 8.758, 12.690 and 4.678 Å, with angles of 90.00, 90.00 and 90.00 degrees. The inequivalent atoms are Fe at (0.000, 0.000, 0.000), Fe at (0.042, 0.100, 0.458) and Ir at (0.028, 0.200, 0.925).

As for the crystal system: orthorhombic. The value obtained for the uncorrected energy is -341.5 eV/cell. For the magnetic moment, the calculation gives 1.482 μB/atom. As for the formation energy: 0.08 eV per atom.

=====

No. 11
Entry from Alexandria: crystalline Rb2ZrH2Se4 at its relaxed geometry (PBE).

The space group is C2/m (No. 12) and the conventional cell measures 17.946, 3.657 and 7.572 Å, with angles of 90.00, 113.13 and 90.00 degrees. The inequivalent atoms are Rb at (0.143, 0.000, 0.132), Zr at (0.000, 0.000, 0.500), H at (0.179, 0.500, 0.617), Se at (0.001, 0.500, 0.754) and Se at (0.171, 0.000, 0.664).

As for the crystal system: monoclinic. The value obtained for the uncorrected energy is -76.6 eV/cell. For the magnetic moment, the calculation gives 0.000 μB/atom.

=====

No. 12
Entry from Alexandria: crystalline ScInGa2Pd2 at its relaxed geometry (PBE).

The space group is P-3m1 (No. 164) and the conventional cell measures 4.4527, 4.4527 and 6.1983 Å, with angles of 90.00, 90.00 and 120.00 degrees. The inequivalent atoms are Sc at (0.0000, 0.0000, 0.0000), In at (0.0000, 0.0000, 0.5000), Ga at (0.3333, 0.6667, 0.2141) and Pd at (0.3333, 0.6667, 0.7463).

As for the crystal system: trigonal. The value obtained for the uncorrected energy is -29.2 eV/cell. For the magnetic moment, the calculation gives 0.000 μB/atom. As for the formation energy: -0.61 eV per atom.